# 1
! PBE ScPtNO, optimized geometry; values from VASP
&SYSTEM
  ibrav = 0, nat = 8, ntyp = 4
/
ATOMIC_SPECIES
N 14.01 N.upf
O 16.00 O.upf
Pt 195.08 Pt.upf
Sc 44.96 Sc.upf
ATOMIC_POSITIONS crystal
N 0.000 0.500 0.441
N 0.500 0.000 0.559
O 0.000 0.000 0.000
O 0.500 0.500 0.000
Pt 0.000 0.000 0.500
Pt 0.500 0.500 0.500
Sc 0.000 0.500 0.116
Sc 0.500 0.000 0.884
CELL_PARAMETERS angstrom
4.110 0.000 0.000
0.000 4.110 0.000
0.000 0.000 6.405
! M_tot: 0.0 μB/cell
! Energy above the most stable polymorph in this dataset: 167 meV per atom

---

# 2
! PBE PmZnPO, optimized geometry; values from VASP
&SYSTEM
  ibrav = 0, nat = 8, ntyp = 4
/
ATOMIC_SPECIES
O 16.00 O.upf
P 30.97 P.upf
Pm 145.00 Pm.upf
Zn 65.41 Zn.upf
ATOMIC_POSITIONS crystal
O 0.000 0.779 0.432
O 0.000 0.221 0.932
P 0.500 0.283 0.284
P 0.500 0.717 0.784
Pm 0.000 0.725 0.093
Pm 0.000 0.275 0.593
Zn 0.500 0.784 0.445
Zn 0.500 0.216 0.945
CELL_PARAMETERS angstrom
-2.592 0.479 -4.209
-3.024 -2.215 1.610
-2.861 5.656 2.406
! M_tot: 0.0 μB/cell
! Energy above the most stable polymorph in this dataset: 162 meV per atom

---

# 3
! PBE Zr4AsPb2C, optimized geometry; values from VASP
&SYSTEM
  ibrav = 0, nat = 8, ntyp = 4
/
ATOMIC_SPECIES
As 74.92 As.upf
C 12.01 C.upf
Pb 207.20 Pb.upf
Zr 91.22 Zr.upf
ATOMIC_POSITIONS crystal
As 0.000 0.000 0.500
C 0.000 0.000 0.000
Pb 0.667 0.333 0.236
Pb 0.333 0.667 0.764
Zr 0.333 0.667 0.077
Zr 0.333 0.667 0.391
Zr 0.667 0.333 0.609
Zr 0.667 0.333 0.923
CELL_PARAMETERS angstrom
-0.825 0.428 -3.395
-1.930 -2.137 2.024
-9.264 11.923 3.756
! M_tot: 0.0 μB/cell
! Calculated total energy: -7.550 eV/atom

---

# 4
! PBE SmScBe2Si2, optimized geometry; values from VASP
&SYSTEM
  ibrav = 0, nat = 6, ntyp = 4
/
ATOMIC_SPECIES
Be 9.01 Be.upf
Sc 44.96 Sc.upf
Si 28.09 Si.upf
Sm 150.36 Sm.upf
ATOMIC_POSITIONS crystal
Be 0.667 0.333 0.271
Be 0.333 0.667 0.729
Sc 0.000 0.000 0.500
Si 0.333 0.667 0.269
Si 0.667 0.333 0.731
Sm 0.000 0.000 0.000
CELL_PARAMETERS angstrom
3.845 0.000 0.000
-1.923 3.330 0.000
0.000 0.000 7.826
! M_tot: 0.0 μB/cell
! Calculated total energy: -5.507 eV/atom

---

# 5
! PBE Nb4TlCoC2, optimized geometry; values from VASP
&SYSTEM
  ibrav = 0, nat = 8, ntyp = 4
/
ATOMIC_SPECIES
C 12.01 C.upf
Co 58.93 Co.upf
Nb 92.91 Nb.upf
Tl 204.38 Tl.upf
ATOMIC_POSITIONS crystal
C 0.000 0.000 0.230
C 0.000 0.000 0.770
Co 0.333 0.667 0.000
Nb 0.667 0.333 0.140
Nb 0.333 0.667 0.319
Nb 0.333 0.667 0.681
Nb 0.667 0.333 0.860
Tl 0.667 0.333 0.500
CELL_PARAMETERS angstrom
-2.705 1.584 0.398
0.732 -2.388 1.935
6.395 8.801 8.442
! M_tot: 0.5 μB/cell
! Calculated total energy: -8.765 eV/atom

---

# 6
! PBE KCu3PtS4, optimized geometry; values from VASP
&SYSTEM
  ibrav = 0, nat = 9, ntyp = 4
/
ATOMIC_SPECIES
Cu 63.55 Cu.upf
K 39.10 K.upf
Pt 195.08 Pt.upf
S 32.06 S.upf
ATOMIC_POSITIONS crystal
Cu 0.500 0.500 0.000
Cu 0.500 0.000 0.500
Cu 0.000 0.500 0.500
K 0.000 0.000 0.000
Pt 0.500 0.500 0.500
S 0.275 0.275 0.275
S 0.725 0.725 0.275
S 0.725 0.275 0.725
S 0.275 0.725 0.725
CELL_PARAMETERS angstrom
5.886 0.000 0.000
0.000 5.886 0.000
0.000 0.000 5.886
! M_tot: 2.0 μB/cell
! Calculated total energy: -3.956 eV/atom

---

# 7
! PBE HfF, optimized geometry; values from VASP
&SYSTEM
  ibrav = 0, nat = 2, ntyp = 2
/
ATOMIC_SPECIES
F 19.00 F.upf
Hf 178.49 Hf.upf
ATOMIC_POSITIONS crystal
F 0.000 0.000 0.000
Hf 0.500 0.500 0.500
CELL_PARAMETERS angstrom
-1.760 -2.928 0.092
-3.378 0.052 0.521
-2.134 -0.792 -2.549
! M_tot: 0.0 μB/cell
! Energy above the most stable polymorph in this dataset: 333 meV per atom

---

# 8
! PBE Lu2ZrMo, optimized geometry; values from VASP
&SYSTEM
  ibrav = 0, nat = 4, ntyp = 3
/
ATOMIC_SPECIES
Lu 174.97 Lu.upf
Mo 95.94 Mo.upf
Zr 91.22 Zr.upf
ATOMIC_POSITIONS crystal
Lu 0.000 0.000 0.000
Lu 0.750 0.750 0.750
Mo 0.500 0.500 0.500
Zr 0.250 0.250 0.250
CELL_PARAMETERS angstrom
0.000 3.555 3.555
3.555 0.000 3.555
3.555 3.555 0.000
! Calculated formation energy: 91 kJ/mol of formula units
! M_tot: 0.0 μB/cell

---

# 9
! PBE TaCuOsPb, optimized geometry; values from VASP
&SYSTEM
  ibrav = 0, nat = 4, ntyp = 4
/
ATOMIC_SPECIES
Cu 63.55 Cu.upf
Os 190.23 Os.upf
Pb 207.20 Pb.upf
Ta 180.95 Ta.upf
ATOMIC_POSITIONS crystal
Cu 0.750 0.750 0.750
Os 0.500 0.500 0.500
Pb 0.250 0.250 0.250
Ta 0.000 0.000 0.000
CELL_PARAMETERS angstrom
-3.123 -2.897 1.610
-2.420 1.087 3.701
-4.430 0.983 -0.383
! M_tot: 0.0 μB/cell
! Energy above the most stable polymorph in this dataset: 328 meV per atom

---

# 10
! PBE TcSnS4, optimized geometry; values from VASP
&SYSTEM
  ibrav = 0, nat = 12, ntyp = 3
/
ATOMIC_SPECIES
S 32.06 S.upf
Sn 118.71 Sn.upf
Tc 98.00 Tc.upf
ATOMIC_POSITIONS crystal
S 0.276 0.046 0.121
S 0.252 0.534 0.166
S 0.742 0.996 0.307
S 0.741 0.469 0.307
S 0.259 0.531 0.693
S 0.258 0.004 0.693
S 0.748 0.466 0.834
S 0.724 0.954 0.879
Sn 0.492 0.768 0.472
Sn 0.508 0.232 0.528
Tc 0.500 0.295 0.000
Tc 0.500 0.705 0.000
CELL_PARAMETERS angstrom
6.709 0.000 0.000
3.326 6.013 0.000
1.311 3.200 6.417
! M_tot: 0.0 μB/cell
! Calculated total energy: -5.500 eV/atom

---

# 11
! PBE NaCoAgTeSe2, optimized geometry; values from VASP
&SYSTEM
  ibrav = 0, nat = 12, ntyp = 5
/
ATOMIC_SPECIES
Ag 107.87 Ag.upf
Co 58.93 Co.upf
Na 22.99 Na.upf
Se 78.96 Se.upf
Te 127.60 Te.upf
ATOMIC_POSITIONS crystal
Ag 0.909 0.091 0.250
Ag 0.091 0.909 0.750
Co 0.500 0.500 0.000
Co 0.500 0.500 0.500
Na 0.245 0.755 0.250
Na 0.755 0.245 0.750
Se 0.888 0.112 0.010
Se 0.888 0.112 0.490
Se 0.112 0.888 0.510
Se 0.112 0.888 0.990
Te 0.564 0.436 0.250
Te 0.436 0.564 0.750
CELL_PARAMETERS angstrom
3.153 6.737 -1.294
-5.122 -4.499 3.244
6.347 -1.426 8.043
! M_tot: 0.0 μB/cell
! Calculated total energy: -3.798 eV/atom

---

# 12
! PBE CsKFe2S4, optimized geometry; values from VASP
&SYSTEM
  ibrav = 0, nat = 8, ntyp = 4
/
ATOMIC_SPECIES
Cs 132.91 Cs.upf
Fe 55.84 Fe.upf
K 39.10 K.upf
S 32.06 S.upf
ATOMIC_POSITIONS crystal
Cs 0.648 0.352 0.000
Fe 0.999 0.001 0.000
Fe 0.995 0.005 0.500
K 0.356 0.644 0.500
S 0.706 0.908 0.153
S 0.278 0.075 0.339
S 0.925 0.722 0.661
S 0.092 0.294 0.847
CELL_PARAMETERS angstrom
3.606 -5.871 0.000
3.606 5.871 0.000
-2.002 0.000 5.023
! M_tot: 5.0 μB/cell
! Calculated total energy: -5.146 eV/atom

---

# 13
! PBE Li4ZnInGa2, optimized geometry; values from VASP
&SYSTEM
  ibrav = 0, nat = 8, ntyp = 4
/
ATOMIC_SPECIES
Ga 69.72 Ga.upf
In 114.82 In.upf
Li 6.94 Li.upf
Zn 65.41 Zn.upf
ATOMIC_POSITIONS crystal
Ga 0.000 0.500 0.271
Ga 0.500 0.000 0.729
In 0.500 0.500 0.000
Li 0.000 0.000 0.000
Li 0.500 0.000 0.268
Li 0.500 0.500 0.500
Li 0.000 0.500 0.732
Zn 0.000 0.000 0.500
CELL_PARAMETERS angstrom
4.448 0.000 0.000
0.000 4.448 0.000
0.000 0.000 6.317
! Calculated total energy: -2.519 eV/atom

---

# 14
! PBE CsReNO, optimized geometry; values from VASP
&SYSTEM
  ibrav = 0, nat = 16, ntyp = 4
/
ATOMIC_SPECIES
Cs 132.91 Cs.upf
N 14.01 N.upf
O 16.00 O.upf
Re 186.21 Re.upf
ATOMIC_POSITIONS crystal
Cs 0.061 0.358 0.018
Cs 0.561 0.642 0.018
Cs 0.439 0.358 0.518
Cs 0.939 0.642 0.518
N 0.578 0.286 0.015
N 0.078 0.714 0.015
N 0.922 0.286 0.515
N 0.422 0.714 0.515
O 0.926 0.009 0.153
O 0.426 0.991 0.153
O 0.574 0.009 0.653
O 0.074 0.991 0.653
Re 0.653 0.113 0.016
Re 0.153 0.887 0.016
Re 0.847 0.113 0.516
Re 0.347 0.887 0.516
CELL_PARAMETERS angstrom
-6.019 -1.070 1.664
2.017 -9.366 1.273
1.195 0.926 4.919
! M_tot: 0.1 μB/cell
! Energy above the most stable polymorph in this dataset: 184 meV per atom

---

# 15
! PBE DyErGa6, optimized geometry; values from VASP
&SYSTEM
  ibrav = 0, nat = 8, ntyp = 3
/
ATOMIC_SPECIES
Dy 162.50 Dy.upf
Er 167.26 Er.upf
Ga 69.72 Ga.upf
ATOMIC_POSITIONS crystal
Dy 0.333 0.667 0.000
Er 0.667 0.333 0.500
Ga 0.297 0.149 0.000
Ga 0.851 0.149 0.000
Ga 0.851 0.703 0.000
Ga 0.148 0.297 0.500
Ga 0.148 0.852 0.500
Ga 0.703 0.852 0.500
CELL_PARAMETERS angstrom
6.244 0.000 0.000
-3.122 5.408 0.000
0.000 0.000 4.549
! M_tot: 0.0 μB/cell
! Calculated total energy: -3.940 eV/atom

---

# 16
! PBE DyErTlCo2, optimized geometry; values from VASP
&SYSTEM
  ibrav = 0, nat = 5, ntyp = 4
/
ATOMIC_SPECIES
Co 58.93 Co.upf
Dy 162.50 Dy.upf
Er 167.26 Er.upf
Tl 204.38 Tl.upf
ATOMIC_POSITIONS crystal
Co 0.500 0.206 0.206
Co 0.500 0.794 0.794
Dy 0.000 0.640 0.640
Er 0.000 0.359 0.359
Tl 0.500 0.000 0.000
CELL_PARAMETERS angstrom
3.823 0.000 0.000
0.000 1.906 7.003
0.000 -1.906 7.003
! M_tot: 1.3 μB/cell
! Calculated total energy: -5.447 eV/atom

---

# 17
! PBE BeZnNiSn, optimized geometry; values from VASP
&SYSTEM
  ibrav = 0, nat = 4, ntyp = 4
/
ATOMIC_SPECIES
Be 9.01 Be.upf
Ni 58.69 Ni.upf
Sn 118.71 Sn.upf
Zn 65.41 Zn.upf
ATOMIC_POSITIONS crystal
Be 0.250 0.250 0.250
Ni 0.500 0.500 0.500
Sn 0.000 0.000 0.000
Zn 0.750 0.750 0.750
CELL_PARAMETERS angstrom
-2.440 0.197 3.574
-3.918 1.841 -0.151
-3.558 -2.449 0.332
! M_tot: 0.0 μB/cell
! Energy above the most stable polymorph in this dataset: 93 meV per atom

---

# 18
! PBE TaFeAs, optimized geometry; values from VASP
&SYSTEM
  ibrav = 0, nat = 9, ntyp = 3
/
ATOMIC_SPECIES
As 74.92 As.upf
Fe 55.84 Fe.upf
Ta 180.95 Ta.upf
ATOMIC_POSITIONS crystal
As 0.275 0.000 0.000
As 0.000 0.275 0.000
As 0.725 0.725 0.000
Fe 0.667 0.333 0.000
Fe 0.333 0.667 0.000
Fe 0.000 0.000 0.500
Ta 0.606 0.000 0.500
Ta 0.394 0.394 0.500
Ta 0.000 0.606 0.500
CELL_PARAMETERS angstrom
6.407 0.000 0.000
-3.203 5.548 0.000
0.000 0.000 3.637
! M_tot: 0.0 μB/cell
! Calculated total energy: -8.495 eV/atom

---

# 19
! PBE LiHfTaOs, optimized geometry; values from VASP
&SYSTEM
  ibrav = 0, nat = 4, ntyp = 4
/
ATOMIC_SPECIES
Hf 178.49 Hf.upf
Li 6.94 Li.upf
Os 190.23 Os.upf
Ta 180.95 Ta.upf
ATOMIC_POSITIONS crystal
Hf 0.500 0.500 0.500
Li 0.750 0.750 0.750
Os 0.000 0.000 0.000
Ta 0.250 0.250 0.250
CELL_PARAMETERS angstrom
-0.321 -1.004 4.381
-0.597 3.285 3.026
-3.953 0.416 2.123
! M_tot: 0.0 μB/cell
! Energy above the most stable polymorph in this dataset: 270 meV per atom

---

# 20
! PBE Cs2HgI4, optimized geometry; values from VASP
&SYSTEM
  ibrav = 0, nat = 14, ntyp = 3
/
ATOMIC_SPECIES
Cs 132.91 Cs.upf
Hg 200.59 Hg.upf
I 126.90 I.upf
ATOMIC_POSITIONS crystal
Cs 0.195 0.482 0.034
Cs 0.697 0.974 0.407
Cs 0.303 0.474 0.593
Cs 0.805 0.982 0.966
Hg 0.815 0.482 0.225
Hg 0.185 0.982 0.775
I 0.356 0.994 0.047
I 0.040 0.214 0.285
I 0.049 0.745 0.290
I 0.572 0.484 0.356
I 0.428 0.984 0.644
I 0.951 0.245 0.710
I 0.960 0.714 0.715
I 0.644 0.494 0.953
CELL_PARAMETERS angstrom
8.013 0.000 0.000
0.000 8.496 0.000
-3.904 0.000 10.551
! Calculated total energy: -2.216 eV/atom

---

# 21
! PBE UBeTl, optimized geometry; values from VASP
&SYSTEM
  ibrav = 0, nat = 3, ntyp = 3
/
ATOMIC_SPECIES
Be 9.01 Be.upf
Tl 204.38 Tl.upf
U 238.03 U.upf
ATOMIC_POSITIONS crystal
Be 0.250 0.250 0.250
Tl 0.000 0.000 0.000
U 0.750 0.750 0.750
CELL_PARAMETERS angstrom
4.710 -0.553 0.680
1.651 -3.867 2.296
2.388 -3.380 -2.413
! M_tot: 3.0 μB/cell
! Energy above the most stable polymorph in this dataset: 451 meV per atom

---

# 22
! PBE Er3Tm4Fe2Te2, optimized geometry; values from VASP
&SYSTEM
  ibrav = 0, nat = 11, ntyp = 4
/
ATOMIC_SPECIES
Er 167.26 Er.upf
Fe 55.84 Fe.upf
Te 127.60 Te.upf
Tm 168.93 Tm.upf
ATOMIC_POSITIONS crystal
Er 0.683 0.683 0.000
Er 0.370 0.057 0.313
Er 0.744 0.057 0.687
Fe 0.989 0.752 0.237
Fe 0.515 0.752 0.763
Te 0.019 0.019 0.000
Te 0.416 0.916 0.500
Tm 0.400 0.264 0.136
Tm 0.766 0.415 0.351
Tm 0.065 0.415 0.649
Tm 0.128 0.264 0.864
CELL_PARAMETERS angstrom
-1.912 7.767 4.628
1.912 -7.767 4.628
1.912 7.767 -4.628
! M_tot: 0.7 μB/cell
! Calculated total energy: -5.443 eV/atom

---

# 23
! PBE CdTePbO, optimized geometry; values from VASP
&SYSTEM
  ibrav = 0, nat = 16, ntyp = 4
/
ATOMIC_SPECIES
Cd 112.41 Cd.upf
O 16.00 O.upf
Pb 207.20 Pb.upf
Te 127.60 Te.upf
ATOMIC_POSITIONS crystal
Cd 0.378 0.250 0.000
Cd 0.878 0.250 0.000
Cd 0.378 0.750 0.000
Cd 0.878 0.750 0.000
O 0.127 0.501 0.076
O 0.627 0.999 0.076
O 0.127 0.001 0.924
O 0.627 0.499 0.924
Pb 0.122 0.501 0.332
Pb 0.622 0.999 0.332
Pb 0.122 0.001 0.668
Pb 0.622 0.499 0.668
Te 0.122 0.001 0.293
Te 0.622 0.499 0.293
Te 0.122 0.501 0.707
Te 0.622 0.999 0.707
CELL_PARAMETERS angstrom
6.346 0.000 0.000
0.000 6.348 0.000
0.000 0.000 9.400
! Energy above the most stable polymorph in this dataset: 37 meV per atom

---

# 24
! PBE MgNbFeGe, optimized geometry; values from VASP
&SYSTEM
  ibrav = 0, nat = 4, ntyp = 4
/
ATOMIC_SPECIES
Fe 55.84 Fe.upf
Ge 72.64 Ge.upf
Mg 24.30 Mg.upf
Nb 92.91 Nb.upf
ATOMIC_POSITIONS crystal
Fe 0.750 0.750 0.750
Ge 0.000 0.000 0.000
Mg 0.500 0.500 0.500
Nb 0.250 0.250 0.250
CELL_PARAMETERS angstrom
3.519 -0.626 2.636
1.128 3.102 2.971
-0.582 -0.763 4.336
! M_tot: 2.9 μB/cell
! Energy above the most stable polymorph in this dataset: 104 meV per atom

---

# 25
! PBE LaLu2Tl, optimized geometry; values from VASP
&SYSTEM
  ibrav = 0, nat = 4, ntyp = 3
/
ATOMIC_SPECIES
La 138.91 La.upf
Lu 174.97 Lu.upf
Tl 204.38 Tl.upf
ATOMIC_POSITIONS crystal
La 0.250 0.250 0.250
Lu 0.000 0.000 0.000
Lu 0.750 0.750 0.750
Tl 0.500 0.500 0.500
CELL_PARAMETERS angstrom
3.506 -2.666 -3.240
1.008 -5.308 0.844
-1.849 -3.731 -3.545
! M_tot: 0.9 μB/cell
! Calculated total energy: -4.133 eV/atom